1.
Material: Tb5SmMg4
Method: DFT, PBE
State: optimized geometry

a b c (Å): 3.7633 3.7633 20.1932
angles (deg): 90.00 90.00 90.00
Closest atoms and distances in Å follow each position.
Atoms (fractional coordinates):
Tb 0.5000 0.5000 0.6890  8 Mg 3.27-3.28
Tb 0.5000 0.5000 0.3110  8 Mg 3.27-3.28
Tb 0.5000 0.5000 0.5000  8 Mg 3.28
Tb 0.5000 0.5000 0.1210  4 Mg 3.28, 4 Sm 3.61
Tb 0.5000 0.5000 0.8790  4 Mg 3.28, 4 Sm 3.61
Mg 0.0000 0.0000 0.4051  8 Tb 3.27-3.28
Mg 0.0000 0.0000 0.2163  8 Tb 3.28
Mg 0.0000 0.0000 0.7837  8 Tb 3.28
Mg 0.0000 0.0000 0.5949  8 Tb 3.27-3.28
Sm 0.0000 0.0000 0.0000  8 Tb 3.61, 4 Sm 3.76

Values from the calculation:
**Magnetization**: 0.00 μB per formula unit
**VASP energy**: -3.48 eV/atom
**Calculated formation energy**: -0.060 eV/atom


2.
Material: SrTbSc4S8
Method: DFT, PBE
State: optimized geometry

a b c (Å): 7.7947 7.7947 7.9382
angles (deg): 60.60 60.60 60.00
Closest atoms and distances in Å follow each position.
Atoms (fractional coordinates):
Sc 0.4949 0.0014 0.5024  6 S 2.55-2.72
Sc 0.0014 0.0014 0.5024  6 S 2.55-2.72
Sc 0.0014 0.4949 0.5024  6 S 2.55-2.72
Sc 0.6260 0.6260 0.1219  4 S 2.51-2.57
S 0.7506 0.2336 0.2652  3 Sc 2.51-2.71, 1 Tb 2.80
S 0.7570 0.7570 0.7289  4 Sc 2.57-2.72
S 0.7971 0.2423 0.7182  2 Sc 2.55, 1 Tb 2.70, 1 Sr 2.74
S 0.2308 0.2308 0.3076  3 Sc 2.56, 1 Sr 2.74
S 0.2336 0.7506 0.2652  3 Sc 2.51-2.71, 1 Tb 2.80
S 0.2423 0.2423 0.7182  2 Sc 2.55, 1 Tb 2.70, 1 Sr 2.74
S 0.7506 0.7506 0.2652  3 Sc 2.51-2.71, 1 Tb 2.80
S 0.2423 0.7971 0.7182  2 Sc 2.55, 1 Tb 2.70, 1 Sr 2.74
Tb 0.0015 0.0015 0.9954  6 S 2.70-2.80
Sr 0.3704 0.3704 0.8889  4 S 2.74

Values from the calculation:
**Raw formation energy**: -1.864 eV/atom
**Magnetization**: 0.00 μB per formula unit
**VASP energy**: -6.48 eV/atom


3.
Material: TbHo3Au2
Method: DFT, PBE
State: optimized geometry

a b c (Å): 7.0241 7.2710 8.5725
angles (deg): 115.09 114.19 90.00
Closest atoms and distances in Å follow each position.
Atoms (fractional coordinates):
Ho 0.7665 0.0165 0.5330  4 Au 2.89-3.03
Ho 0.7665 0.5165 0.5330  4 Au 2.89-3.03
Ho 0.5000 0.2500 0.0000  4 Au 3.04
Ho 0.2335 0.4835 0.4670  4 Au 2.89-3.03
Ho 0.5000 0.7500 0.0000  4 Au 3.04
Ho 0.2335 0.9835 0.4670  4 Au 2.89-3.03
Au 0.5628 0.3580 0.7160  1 Tb 2.86, 6 Ho 2.89-3.04
Au 0.8468 0.1420 0.2840  1 Tb 2.86, 6 Ho 2.89-3.04
Au 0.4372 0.6420 0.2840  1 Tb 2.86, 6 Ho 2.89-3.04
Au 0.1532 0.8580 0.7160  1 Tb 2.86, 6 Ho 2.89-3.04
Tb 0.0000 0.0000 0.0000  2 Au 2.86
Tb 0.0000 0.5000 0.0000  2 Au 2.86

Values from the calculation:
**Magnetization**: 0.00 μB per formula unit
**VASP energy**: -4.61 eV/atom
**Offset from the most stable computed form**: 181.6 meV per atom
**Calculated formation energy**: -0.460 eV/atom


Question: Which value of VASP energy does entry 1 give?
Answer: -3.48 eV/atom


Question: Number 3 is which compound?
Answer: TbHo3Au2


Question: Look up the magnetization of the first one.
Answer: 0.00 μB per formula unit


Repeat the third record exactly.
Material: TbHo3Au2
Method: DFT, PBE
State: optimized geometry

a b c (Å): 7.0241 7.2710 8.5725
angles (deg): 115.09 114.19 90.00
Closest atoms and distances in Å follow each position.
Atoms (fractional coordinates):
Ho 0.7665 0.0165 0.5330  4 Au 2.89-3.03
Ho 0.7665 0.5165 0.5330  4 Au 2.89-3.03
Ho 0.5000 0.2500 0.0000  4 Au 3.04
Ho 0.2335 0.4835 0.4670  4 Au 2.89-3.03
Ho 0.5000 0.7500 0.0000  4 Au 3.04
Ho 0.2335 0.9835 0.4670  4 Au 2.89-3.03
Au 0.5628 0.3580 0.7160  1 Tb 2.86, 6 Ho 2.89-3.04
Au 0.8468 0.1420 0.2840  1 Tb 2.86, 6 Ho 2.89-3.04
Au 0.4372 0.6420 0.2840  1 Tb 2.86, 6 Ho 2.89-3.04
Au 0.1532 0.8580 0.7160  1 Tb 2.86, 6 Ho 2.89-3.04
Tb 0.0000 0.0000 0.0000  2 Au 2.86
Tb 0.0000 0.5000 0.0000  2 Au 2.86

Values from the calculation:
**Magnetization**: 0.00 μB per formula unit
**VASP energy**: -4.61 eV/atom
**Offset from the most stable computed form**: 181.6 meV per atom
**Calculated formation energy**: -0.460 eV/atom